Record 1
Material: Th2BeWN5
Method: DFT, GGA-PBE
State: optimized geometry Values from VASP.

Geometry as Quantum ESPRESSO input:
```
&SYSTEM
  ibrav = 0, nat = 18, ntyp = 4
/
ATOMIC_SPECIES
N 14.01 N.upf
Th 232.04 Th.upf
Be 9.01 Be.upf
W 183.84 W.upf
ATOMIC_POSITIONS crystal
N 0.688 0.376 0.875
N 0.301 0.602 0.660
N 0.499 0.999 0.783
N 0.046 0.092 0.013
N 0.340 0.679 0.016
N 0.312 0.624 0.375
N 0.954 0.908 0.513
N 0.699 0.398 0.160
N 0.660 0.321 0.516
N 0.501 0.001 0.283
Th 0.880 0.761 0.197
Th 0.120 0.239 0.697
Th 0.872 0.744 0.825
Th 0.128 0.256 0.325
Be 0.448 0.896 0.437
Be 0.552 0.104 0.937
W 0.191 0.381 0.019
W 0.809 0.619 0.519
CELL_PARAMETERS angstrom
-2.603 -1.854 0.764
5.125 -2.621 4.035
-2.428 6.390 7.236
```

## Properties
* energy relative to the elements, uncorrected: -1117.9 meV/atom

---

Record 2
Material: ErAlIr
Method: DFT, GGA-PBE
State: optimized geometry Values from VASP.

Geometry as Quantum ESPRESSO input:
```
&SYSTEM
  ibrav = 0, nat = 18, ntyp = 3
/
ATOMIC_SPECIES
Ir 192.22 Ir.upf
Er 167.26 Er.upf
Al 26.98 Al.upf
ATOMIC_POSITIONS crystal
Ir 0.250 0.231 0.421
Ir 0.750 0.232 0.088
Ir 0.750 0.262 0.750
Ir 0.250 0.768 0.912
Ir 0.250 0.738 0.250
Ir 0.750 0.769 0.579
Er 0.750 0.531 0.378
Er 0.750 0.034 0.287
Er 0.250 0.348 0.918
Er 0.250 0.966 0.713
Er 0.750 0.652 0.082
Er 0.250 0.469 0.622
Al 0.250 0.995 0.083
Al 0.250 0.859 0.458
Al 0.250 0.363 0.201
Al 0.750 0.141 0.542
Al 0.750 0.637 0.799
Al 0.750 0.005 0.917
CELL_PARAMETERS angstrom
4.125 0.000 0.000
0.000 6.951 0.049
0.000 0.064 11.926
```

## Properties
* uncorrected energy: -6.68 eV/atom

---

Record 3
Material: ZnTcSe2
Method: DFT, GGA-PBE
State: optimized geometry Values from VASP.

Geometry as Quantum ESPRESSO input:
```
&SYSTEM
  ibrav = 0, nat = 8, ntyp = 3
/
ATOMIC_SPECIES
Zn 65.41 Zn.upf
Se 78.96 Se.upf
Tc 98.00 Tc.upf
ATOMIC_POSITIONS crystal
Zn 0.158 0.344 0.609
Zn 0.664 0.340 0.880
Se 0.506 0.049 0.194
Se 0.489 0.989 0.626
Se 0.788 0.586 0.247
Se 0.802 0.641 0.786
Tc 0.325 0.674 0.061
Tc 0.965 0.955 0.363
CELL_PARAMETERS angstrom
-1.874 -0.169 -2.931
5.205 -5.596 -1.049
-6.306 -1.522 4.228
```

## Properties
* energy relative to the elements, uncorrected: -250.3 meV/atom

---

Record 4
Material: Ta2PCl
Method: DFT, GGA-PBE
State: optimized geometry Values from VASP.

Geometry as Quantum ESPRESSO input:
```
&SYSTEM
  ibrav = 0, nat = 4, ntyp = 3
/
ATOMIC_SPECIES
P 30.97 P.upf
Ta 180.95 Ta.upf
Cl 35.45 Cl.upf
ATOMIC_POSITIONS crystal
P 0.500 0.750 0.750
Ta 0.000 0.250 0.558
Ta 0.000 0.250 0.942
Cl 0.500 0.250 0.250
CELL_PARAMETERS angstrom
3.142 0.000 0.000
0.000 3.192 0.181
0.000 -0.397 7.001
```

## Properties
* energy relative to the elements, uncorrected: -230.4 meV/atom

---

Record 5
Material: CaCd2Cl2
Method: DFT, GGA-PBE
State: optimized geometry Values from VASP.

Geometry as Quantum ESPRESSO input:
```
&SYSTEM
  ibrav = 0, nat = 10, ntyp = 3
/
ATOMIC_SPECIES
Ca 40.08 Ca.upf
Cd 112.41 Cd.upf
Cl 35.45 Cl.upf
ATOMIC_POSITIONS crystal
Ca 0.500 0.500 0.000
Ca 0.000 0.000 0.000
Cd 0.656 0.844 0.500
Cd 0.844 0.344 0.500
Cd 0.156 0.656 0.500
Cd 0.344 0.156 0.500
Cl 0.673 0.173 0.000
Cl 0.327 0.827 0.000
Cl 0.173 0.327 0.000
Cl 0.827 0.673 0.000
CELL_PARAMETERS angstrom
7.118 0.000 0.000
0.000 7.118 0.000
0.000 0.000 6.443
```

## Properties
* energy relative to the elements, uncorrected: -1053.0 meV/atom

---

Record 6
Material: HoLuCuAu
Method: DFT, GGA-PBE
State: optimized geometry Values from VASP.

Geometry as Quantum ESPRESSO input:
```
&SYSTEM
  ibrav = 0, nat = 4, ntyp = 4
/
ATOMIC_SPECIES
Ho 164.93 Ho.upf
Au 196.97 Au.upf
Cu 63.55 Cu.upf
Lu 174.97 Lu.upf
ATOMIC_POSITIONS crystal
Ho 0.750 0.750 0.750
Au 0.000 0.000 0.000
Cu 0.500 0.500 0.500
Lu 0.250 0.250 0.250
CELL_PARAMETERS angstrom
4.950 0.000 0.000
2.475 4.286 0.000
2.475 1.429 4.041
```

## Properties
* uncorrected energy: -4.69 eV/atom